Entry 1:
# Cs2KSnF6 | Alexandria via LeMat-Bulk | PBE-GGA | relaxed
# Crystal system   trigonal
# Calculated volume   23.23 Å³ per atom
# Formation energy without anion corrections   -2664 meV/atom
data_Cs2KSnF6
_cell_length_a 6.8400
_cell_length_b 6.8400
_cell_length_c 34.3967
_cell_angle_alpha 90.00
_cell_angle_beta 90.00
_cell_angle_gamma 120.00
_symmetry_space_group_name_H-M 'R -3 m'
_symmetry_Int_Tables_number 166
_symmetry_space_group_name_Hall '-R 3 2"'
loop_
_atom_site_label
_atom_site_type_symbol
_atom_site_fract_x
_atom_site_fract_y
_atom_site_fract_z
Cs1 Cs 0.0000 0.0000 0.1399
Cs2 Cs 0.0000 0.0000 0.2683
K1 K 0.0000 0.0000 0.4030
Sn1 Sn 0.0000 0.0000 0.0000
Sn2 Sn 0.0000 0.0000 0.5000
F1 F 0.0125 0.5062 0.1239
F2 F 0.0564 0.5282 0.7003


Entry 2:
# Pr8Cu2Rh | Alexandria via LeMat-Bulk | PBE-GGA | relaxed
# Crystal system   monoclinic
# Calculated volume   29.14 Å³ per atom
# ΔE_f   -0.15 eV per atom
data_Pr8Cu2Rh
_cell_length_a 18.065
_cell_length_b 5.204
_cell_length_c 6.950
_cell_angle_alpha 90.00
_cell_angle_beta 101.15
_cell_angle_gamma 90.00
_symmetry_space_group_name_H-M 'C 1 2/m 1'
_symmetry_Int_Tables_number 12
_symmetry_space_group_name_Hall '-C 2y'
loop_
_atom_site_label
_atom_site_type_symbol
_atom_site_fract_x
_atom_site_fract_y
_atom_site_fract_z
Pr1 Pr 0.033 0.000 0.286
Pr2 Pr 0.088 0.500 0.942
Pr3 Pr 0.163 0.500 0.470
Pr4 Pr 0.200 0.000 0.838
Cu1 Cu 0.192 0.000 0.245
Rh1 Rh 0.000 0.500 0.500


Entry 3:
# K2H2SeI2O10 | Alexandria via LeMat-Bulk | PBE-GGA | relaxed
# Crystal system   monoclinic
# Calculated volume   16.19 Å³ per atom
# Electronic total energy   -4.7280 eV per atom
data_K2H2SeI2O10
_cell_length_a 20.565
_cell_length_b 4.953
_cell_length_c 14.663
_cell_angle_alpha 90.00
_cell_angle_beta 132.53
_cell_angle_gamma 90.00
_symmetry_space_group_name_H-M 'C 1 2/c 1'
_symmetry_Int_Tables_number 15
_symmetry_space_group_name_Hall '-C 2yc'
loop_
_atom_site_label
_atom_site_type_symbol
_atom_site_fract_x
_atom_site_fract_y
_atom_site_fract_z
K1 K 0.100 0.242 0.154
H1 H 0.232 0.255 0.108
Se1 Se 0.000 0.316 0.750
I1 I 0.160 0.191 0.500
O1 O 0.014 0.128 0.857
O2 O 0.090 0.488 0.318
O3 O 0.095 0.311 0.533
O4 O 0.223 0.078 0.133
O5 O 0.249 0.066 0.413


Entry 4:
# Mn3CrIr4 | Alexandria via LeMat-Bulk | PBE-GGA | relaxed
# Crystal system   orthorhombic
# Calculated volume   13.59 Å³ per atom
# ΔE_f   -0.21 eV per atom
data_Mn3CrIr4
_cell_length_a 3.642
_cell_length_b 3.846
_cell_length_c 7.762
_cell_angle_alpha 90.00
_cell_angle_beta 90.00
_cell_angle_gamma 90.00
_symmetry_space_group_name_H-M 'P m m m'
_symmetry_Int_Tables_number 47
_symmetry_space_group_name_Hall '-P 2 2'
loop_
_atom_site_label
_atom_site_type_symbol
_atom_site_fract_x
_atom_site_fract_y
_atom_site_fract_z
Mn1 Mn 0.000 0.000 0.000
Mn2 Mn 0.000 0.500 0.260
Cr1 Cr 0.000 0.000 0.500
Ir1 Ir 0.500 0.000 0.253
Ir2 Ir 0.500 0.500 0.000
Ir3 Ir 0.500 0.500 0.500